Density functional theory data (PBE with a Hubbard U) for a relaxed structure of MnCoI2O.

The value obtained for the electronic total energy is -4.067 eV/atom. The space group is P4/mmm (123).

Geometry as POSCAR:
```
MnCoI2O
1.0
-4.2020 -3.5675 0.7378
3.5590 -3.7795 1.9944
-0.5098 1.2970 3.3675
I Mn Co O
2 1 1 1
direct
0.0000 0.5000 0.0000
0.5000 0.0000 0.0000
0.5000 0.5000 0.5000
0.0000 0.0000 0.0000
0.0000 0.0000 0.5000
```

---

Density functional theory data (PBE with a Hubbard U) for a relaxed structure of MnCoIO6.

The value obtained for the electronic total energy is -5.704 eV/atom. The space group is P-31c (163).

Geometry as POSCAR:
```
MnCoIO6
1.0
-3.1912 3.6926 1.0909
0.7325 -3.7176 3.2638
7.0553 4.9122 4.0117
Mn Co I O
2 2 2 12
direct
0.0000 0.0000 0.0000
0.0000 0.0000 0.5000
0.3333 0.6667 0.2500
0.6667 0.3333 0.7500
0.6667 0.3333 0.2500
0.3333 0.6667 0.7500
0.6385 0.6380 0.1383
0.9996 0.3615 0.1383
0.3615 0.9996 0.6383
0.0004 0.6385 0.8617
0.3620 0.3615 0.3617
0.9996 0.6380 0.3617
0.6380 0.9996 0.8617
0.6385 0.0004 0.3617
0.0004 0.3620 0.6383
0.3620 0.0004 0.1383
0.6380 0.6385 0.6383
0.3615 0.3620 0.8617
```

---

- Which value of electronic total energy does entry 2 give?
  -5.704 eV/atom

---

- What is the electronic total energy in the first record?
  -4.067 eV/atom